(1)
TaSiTc2: optimized geometry, GGA-PBE.

* volume: 15.10 Å³ per atom
* space-group type: No. 6
* E_form (uncorrected): -0.262 eV/atom

Unit cell a=4.353 b=2.881 c=4.959 alpha=76.24 beta=90.00 gamma=90.00
Sites, in units of the cell vectors:
1 Si 0.000 0.354 0.498
2 Tc 0.500 0.341 0.240
3 Tc 0.000 0.995 0.028
4 Ta 0.500 0.810 0.734


(2)
Mn3SbAs: optimized geometry, GGA-PBE.

* relative energy among the computed polymorphs: 590 meV per atom
* volume: 25.20 Å³ per atom
* space-group type: No. 221
* E_form (uncorrected): 1.068 eV/atom

Unit cell a=5.013 b=5.013 c=5.013 alpha=90.00 beta=90.00 gamma=90.00
Sites, in units of the cell vectors:
1 Mn 0.000 0.500 0.000
2 Mn 0.000 0.000 0.500
3 Mn 0.500 0.000 0.000
4 Sb 0.000 0.000 0.000
5 As 0.500 0.500 0.500


(3)
Ba2NaLa: optimized geometry, GGA-PBE.

* relative energy among the computed polymorphs: 8 meV per atom
* volume: 48.96 Å³ per atom
* space-group type: No. 160
* E_form: 130 meV/atom

Unit cell a=4.137 b=4.137 c=13.429 alpha=81.14 beta=81.14 gamma=60.00
Sites, in units of the cell vectors:
1 Ba 0.085 0.085 0.745
2 Ba 0.248 0.248 0.255
3 Na 0.667 0.667 0.000
4 La 0.500 0.500 0.500


(4)
La5Hg: optimized geometry, GGA-PBE.

* relative energy among the computed polymorphs: 48 meV per atom
* volume: 33.70 Å³ per atom
* space-group type: No. 38
* E_form: -119 meV/atom

Unit cell a=3.776 b=9.229 c=5.927 alpha=90.00 beta=90.00 gamma=78.19
Sites, in units of the cell vectors:
1 La 0.537 0.925 0.500
2 La 0.207 0.587 0.500
3 La 0.880 0.239 0.500
4 La 0.360 0.281 0.000
5 La 0.669 0.661 0.000
6 Hg 0.013 0.974 0.000


(5)
NaZn2Sn2: optimized geometry, GGA-PBE.

* relative energy among the computed polymorphs: 0 meV per atom
* volume: 24.16 Å³ per atom
* space-group type: No. 129
* E_form: -73 meV/atom

Unit cell a=4.495 b=4.495 c=11.955 alpha=90.00 beta=90.00 gamma=90.00
Sites, in units of the cell vectors:
1 Sn 0.500 0.500 0.500
2 Sn 0.000 0.000 0.500
3 Sn 0.000 0.500 0.135
4 Sn 0.500 0.000 0.865
5 Na 0.500 0.000 0.242
6 Na 0.000 0.500 0.758
7 Zn 0.500 0.500 0.000
8 Zn 0.000 0.000 0.000
9 Zn 0.000 0.500 0.354
10 Zn 0.500 0.000 0.646


(6)
HfHPd: optimized geometry, GGA-PBE.

* relative energy among the computed polymorphs: 133 meV per atom
* volume: 12.80 Å³ per atom
* space-group type: No. 62

Unit cell a=4.279 b=3.303 c=10.868 alpha=90.00 beta=90.00 gamma=90.00
Sites, in units of the cell vectors:
1 H 0.249 0.251 0.732
2 H 0.749 0.249 0.268
3 H 0.751 0.751 0.768
4 H 0.251 0.749 0.232
5 Hf 0.249 0.751 0.850
6 Hf 0.751 0.251 0.650
7 Hf 0.251 0.249 0.350
8 Hf 0.749 0.749 0.150
9 Pd 0.251 0.750 0.576
10 Pd 0.249 0.250 0.076
11 Pd 0.749 0.250 0.924
12 Pd 0.751 0.750 0.424


(7)
Tb4NdDy7: optimized geometry, GGA-PBE.

* relative energy among the computed polymorphs: 0 meV per atom
* volume: 32.01 Å³ per atom
* space-group type: No. 2
* E_form: 0 meV/atom

Unit cell a=7.184 b=9.493 c=8.852 alpha=81.08 beta=90.03 gamma=40.92
Sites, in units of the cell vectors:
1 Dy 0.972 0.279 0.666
2 Dy 0.250 0.500 0.000
3 Dy 0.778 0.221 0.334
4 Dy 0.750 0.500 0.000
5 Dy 0.028 0.721 0.334
6 Dy 0.500 0.000 0.000
7 Dy 0.222 0.779 0.666
8 Tb 0.279 0.221 0.334
9 Tb 0.530 0.721 0.335
10 Tb 0.470 0.279 0.665
11 Tb 0.721 0.779 0.666
12 Nd 0.000 0.000 0.000


(8)
Be2VHPt: optimized geometry, GGA-PBE.

* relative energy among the computed polymorphs: 267 meV per atom
* volume: 10.10 Å³ per atom
* space-group type: No. 123

Unit cell a=3.781 b=3.531 c=3.781 alpha=90.00 beta=90.00 gamma=90.00
Sites, in units of the cell vectors:
1 H 0.000 0.000 0.000
2 Be 0.500 0.000 0.000
3 Be 0.000 0.000 0.500
4 V 0.500 0.500 0.500
5 Pt 0.000 0.500 0.000


(9)
AcNd2Cd2: optimized geometry, GGA-PBE.

* relative energy among the computed polymorphs: 0 meV per atom
* volume: 32.04 Å³ per atom
* space-group type: No. 11
* E_form: -237 meV/atom

Unit cell a=3.938 b=5.673 c=14.477 alpha=90.00 beta=97.85 gamma=90.00
Sites, in units of the cell vectors:
1 Nd 0.952 0.250 0.903
2 Nd 0.764 0.250 0.526
3 Nd 0.236 0.750 0.474
4 Nd 0.048 0.750 0.097
5 Cd 0.644 0.750 0.287
6 Cd 0.456 0.750 0.912
7 Cd 0.544 0.250 0.088
8 Cd 0.356 0.250 0.713
9 Ac 0.853 0.750 0.709
10 Ac 0.147 0.250 0.291


(10)
Tm8P3Pb4C: optimized geometry, GGA-PBE.

* volume: 24.73 Å³ per atom
* space-group type: No. 166
* E_form: -896 meV/atom

Unit cell a=7.622 b=9.013 c=7.624 alpha=115.06 beta=119.99 gamma=90.00
Sites, in units of the cell vectors:
1 Tm 0.268 0.304 0.536
2 Tm 0.785 0.318 0.033
3 Tm 0.215 0.682 0.967
4 Tm 0.247 0.318 0.033
5 Tm 0.215 0.682 0.429
6 Tm 0.753 0.682 0.967
7 Tm 0.785 0.318 0.571
8 Tm 0.732 0.696 0.464
9 Pb 0.000 0.000 0.500
10 Pb 0.500 0.000 0.500
11 Pb 0.000 0.000 0.000
12 Pb 0.500 0.000 0.000
13 P 0.500 0.500 0.000
14 P 0.500 0.500 0.500
15 P 0.000 0.500 0.500
16 C 0.000 0.500 0.000


(11)
DyNpS3: optimized geometry, GGA-PBE.

* relative energy among the computed polymorphs: 0 meV per atom
* volume: 21.51 Å³ per atom
* space-group type: No. 62
* E_form (uncorrected): -1.744 eV/atom

Unit cell a=3.919 b=7.310 c=15.021 alpha=90.00 beta=90.00 gamma=90.00
Sites, in units of the cell vectors:
1 Np 0.250 0.139 0.208
2 Np 0.250 0.639 0.292
3 Np 0.750 0.861 0.792
4 Np 0.750 0.361 0.708
5 S 0.250 0.146 0.779
6 S 0.750 0.625 0.432
7 S 0.250 0.510 0.108
8 S 0.250 0.010 0.392
9 S 0.250 0.375 0.568
10 S 0.750 0.490 0.892
11 S 0.250 0.875 0.932
12 S 0.750 0.354 0.279
13 S 0.750 0.990 0.608
14 S 0.750 0.125 0.068
15 S 0.750 0.854 0.221
16 S 0.250 0.646 0.721
17 Dy 0.750 0.738 0.042
18 Dy 0.750 0.238 0.458
19 Dy 0.250 0.262 0.958
20 Dy 0.250 0.762 0.542


(12)
ErSi2Pd4: optimized geometry, GGA-PBE.

* relative energy among the computed polymorphs: 30 meV per atom
* volume: 16.39 Å³ per atom
* space-group type: No. 62
* E_form (uncorrected): -0.802 eV/atom

Unit cell a=4.150 b=6.535 c=16.917 alpha=90.00 beta=90.00 gamma=90.00
Sites, in units of the cell vectors:
1 Si 0.750 0.049 0.217
2 Si 0.750 0.451 0.717
3 Si 0.250 0.758 0.041
4 Si 0.750 0.242 0.959
5 Si 0.750 0.258 0.459
6 Si 0.250 0.549 0.283
7 Si 0.250 0.951 0.783
8 Si 0.250 0.742 0.541
9 Pd 0.250 0.249 0.700
10 Pd 0.750 0.749 0.800
11 Pd 0.750 0.493 0.572
12 Pd 0.750 0.007 0.072
13 Pd 0.250 0.359 0.027
14 Pd 0.750 0.330 0.315
15 Pd 0.750 0.641 0.973
16 Pd 0.750 0.859 0.473
17 Pd 0.250 0.993 0.928
18 Pd 0.250 0.141 0.527
19 Pd 0.750 0.170 0.815
20 Pd 0.250 0.830 0.185
21 Pd 0.250 0.507 0.428
22 Pd 0.250 0.670 0.685
23 Pd 0.250 0.251 0.200
24 Pd 0.750 0.751 0.300
25 Er 0.250 0.476 0.859
26 Er 0.750 0.524 0.141
27 Er 0.250 0.024 0.359
28 Er 0.750 0.976 0.641